Compound: Zr5CuRu4
Source: Alexandria
Functional: PBE-GGA
Structure: optimized geometry

Summary:
M_tot   0.00 μB/f.u.
Calculated total energy   -8.9311 eV/atom
Symmetry   P4/mmm
Crystal system   tetragonal
Energy of formation from the pure elements   -0.54 eV/atom

a b c (Å): 3.263 3.263 16.580
angles (deg): 90.00 90.00 90.00
Element x y z (fractional)
Zr 0.000 0.000 0.000
Zr 0.000 0.000 0.200
Zr 0.000 0.000 0.399
Zr 0.000 0.000 0.601
Zr 0.000 0.000 0.800
Cu 0.500 0.500 0.500
Ru 0.500 0.500 0.100
Ru 0.500 0.500 0.299
Ru 0.500 0.500 0.701
Ru 0.500 0.500 0.900